{
  "formula": "Ba2NpTeS6",
  "functional": "PBE",
  "state": "optimized geometry",
  "lattice": [[5.214, 0.000, 0.000], [0.000, 5.214, 0.000], [0.000, 0.000, 10.288]],
  "species": ["Ba", "Ba", "Np", "Te", "S", "S", "S", "S", "S", "S"],
  "fractional_positions": [[0.000, 0.000, 0.231], [0.000, 0.000, 0.769], [0.500, 0.500, 0.500], [0.500, 0.500, 0.000], [0.000, 0.500, 0.000], [0.000, 0.500, 0.500], [0.500, 0.000, 0.000], [0.500, 0.000, 0.500], [0.500, 0.500, 0.252], [0.500, 0.500, 0.748]],
  "mass_density_g_cm3": 4.9,
  "e_form_raw_ev_per_atom": -1.1943,
  "magmom_total_mub_per_cell": 2.5,
  "final_energy_ev_per_atom": -5.66
}